No. 1
A relaxed structure of Zr2CdSb, computed with PBE-GGA.

Lattice parameters (Å, degrees): 3.698 3.698 6.531 90.00 90.00 90.00
Fractional coordinates of all 4 atoms:
1 Cd 0.500 0.500 0.250
2 Zr 0.000 0.000 0.990
3 Zr 0.000 0.000 0.510
4 Sb 0.500 0.500 0.750

Values from the calculation:
SG: P4/mmm
Formation energy from raw total energies (eV per atom): -0.321
Total moment (μB/atom): 0.0000
Distance to the lowest polymorph of the same formula (meV per atom): 10
Calculated total energy (eV/atom): -5.855

=====

No. 2
A relaxed structure of Sr2SO4, computed with PBE-GGA.

Lattice parameters (Å, degrees): 5.712 5.712 5.282 122.73 122.73 90.00
Each line ends with the local moment (μB).
Fractional coordinates of all 7 atoms:
1 O 0.718 0.282 0.000  0.23
2 O 0.282 0.282 0.000  0.23
3 O 0.282 0.718 0.000  0.23
4 O 0.718 0.718 0.000  0.23
5 Sr 0.750 0.250 0.500  0.00
6 Sr 0.250 0.750 0.500  0.00
7 S 0.500 0.500 0.000  0.42

Values from the calculation:
SG: I4/mmm
Formation energy from raw total energies (eV per atom): -1.836
Total moment (μB/atom): 0.2676
Calculated total energy (eV/atom): -5.739

=====

No. 3
A relaxed structure of SrOs2Ru, computed with PBE-GGA.

Lattice parameters (Å, degrees): 4.610 4.610 4.610 60.00 60.00 60.00
Each line ends with the local moment (μB).
Fractional coordinates of all 4 atoms:
1 Ru 0.500 0.500 0.500  0.80
2 Os 0.000 0.000 0.000  0.10
3 Os 0.750 0.750 0.750  0.65
4 Sr 0.250 0.250 0.250  -0.01

Values from the calculation:
ΔE_f (kJ/mol of formula units): 421
SG: F-43m
Total moment (μB/atom): 0.3928
Distance to the lowest polymorph of the same formula (meV per atom): 486
Calculated total energy (eV/atom): -7.263

=====

No. 4
A relaxed structure of V3CoPb, computed with PBE-GGA.

Lattice parameters (Å, degrees): 4.391 4.391 4.391 90.00 90.00 90.00
Fractional coordinates of all 5 atoms:
1 V 0.500 0.000 0.000
2 V 0.000 0.000 0.500
3 V 0.000 0.500 0.000
4 Co 0.000 0.000 0.000
5 Pb 0.500 0.500 0.500

Values from the calculation:
ΔE_f (kJ/mol of formula units): 287
SG: Pm-3m
Total moment (μB/atom): 0.0000
Distance to the lowest polymorph of the same formula (meV per atom): 0
Calculated total energy (eV/atom): -7.040

=====

No. 5
A relaxed structure of CsPmCdSe3, computed with PBE-GGA.

Lattice parameters (Å, degrees): 4.386 9.675 10.654 109.99 90.00 90.00
Fractional coordinates of all 12 atoms:
1 Se 0.750 0.881 0.132
2 Se 0.250 0.789 0.453
3 Se 0.250 0.119 0.868
4 Se 0.750 0.211 0.547
5 Se 0.250 0.526 0.849
6 Se 0.750 0.474 0.151
7 Cs 0.250 0.219 0.242
8 Cs 0.750 0.781 0.758
9 Cd 0.750 0.915 0.387
10 Cd 0.250 0.085 0.613
11 Pm 0.750 0.329 0.866
12 Pm 0.250 0.671 0.134

Values from the calculation:
SG: P2_1/m
Formation energy from raw total energies (eV per atom): -1.358
Total moment (μB/atom): 0.0000
Calculated total energy (eV/atom): -4.187

=====

No. 6
A relaxed structure of Ir2S2F, computed with PBE-GGA.

Lattice parameters (Å, degrees): 7.013 7.013 2.884 90.00 90.00 90.00
Fractional coordinates of all 10 atoms:
1 Ir 0.640 0.140 0.000
2 Ir 0.360 0.860 0.000
3 Ir 0.860 0.640 0.000
4 Ir 0.140 0.360 0.000
5 F 0.500 0.500 0.000
6 F 0.000 0.000 0.000
7 S 0.657 0.843 0.500
8 S 0.843 0.343 0.500
9 S 0.157 0.657 0.500
10 S 0.343 0.157 0.500

Values from the calculation:
SG: P4/mbm
Formation energy from raw total energies (eV per atom): 0.136
Total moment (μB/atom): 0.0000
Distance to the lowest polymorph of the same formula (meV per atom): 434
Calculated total energy (eV/atom): -5.434

=====

No. 7
A relaxed structure of LiMnBe2, computed with PBE-GGA.

Lattice parameters (Å, degrees): 5.847 5.847 4.735 51.87 51.87 90.00
Fractional coordinates of all 8 atoms:
1 Be 0.375 0.381 0.750
2 Be 0.619 0.125 0.250
3 Be 0.131 0.625 0.250
4 Be 0.875 0.869 0.750
5 Li 0.250 0.750 0.500
6 Li 0.500 0.500 0.000
7 Mn 0.000 0.000 0.000
8 Mn 0.750 0.250 0.500

Values from the calculation:
ΔE_f (kJ/mol of formula units): 213
SG: I-42d
Total moment (μB/atom): 0.0000
Calculated total energy (eV/atom): -4.083

=====

No. 8
A relaxed structure of Tl2HgRhO6, computed with PBE-GGA.

Lattice parameters (Å, degrees): 5.766 5.766 5.921 60.86 60.86 60.00
Each line ends with the local moment (μB).
Fractional coordinates of all 10 atoms:
1 O 0.400 0.685 0.768  0.04
2 O 0.972 0.568 0.239  0.09
3 O 0.685 0.148 0.768  0.04
4 O 0.148 0.400 0.768  0.04
5 O 0.568 0.220 0.239  0.09
6 O 0.220 0.972 0.239  0.09
7 Hg 0.786 0.786 0.641  0.01
8 Tl 0.541 0.541 0.378  0.00
9 Tl 0.019 0.019 0.944  0.00
10 Rh 0.323 0.323 0.031  0.59

Values from the calculation:
SG: R3
Formation energy from raw total energies (eV per atom): -0.551
Total moment (μB/atom): 0.1064
Calculated total energy (eV/atom): -4.764